First-principles (PBE-GGA) data for Pr3CuSi2Pt9 after structural relaxation, as listed in the Alexandria database.

Cell: 5.778 5.778 10.648 Å, 90.00 90.00 120.00°
Sites, in units of the cell vectors:
Pr (0.333, 0.667, 0.588)
Pr (0.000, 0.000, 0.000)
Pr (0.667, 0.333, 0.412)
Cu (0.000, 0.000, 0.500)
Si (0.333, 0.667, 0.164)
Si (0.667, 0.333, 0.836)
Pt (0.839, 0.161, 0.686)
Pt (0.839, 0.679, 0.686)
Pt (0.321, 0.161, 0.686)
Pt (0.679, 0.839, 0.314)
Pt (0.161, 0.321, 0.314)
Pt (0.161, 0.839, 0.314)
Pt (0.500, 0.000, 0.000)
Pt (0.000, 0.500, 0.000)
Pt (0.500, 0.500, 0.000)

**E_form (uncorrected)**: -0.78 eV per atom
**Calculated volume**: 308 Å³ per cell
**Space group**: No. 164